The following is a PBE calculation of an optimized crystal structure of HfZn2Pt, from the Open Quantum Materials Database.

Formation energy (eV per atom): -0.459
VASP energy (eV per atom): -5.094

abc: 4.5440 4.5440 4.5440
angles: 123.45 123.45 84.13
Sites, in units of the cell vectors:
Hf1 0.0000 0.0000 0.0000
Zn1 0.2500 0.7500 0.5000
Zn2 0.7500 0.2500 0.5000
Pt1 0.5000 0.5000 0.0000